Compound: Al3Zn3Hg
Source: Alexandria via LeMat-Bulk
Functional: PBE-GGA
Structure: optimized geometry

Results
For the calculated density, the calculation gives 4.311 g cm⁻³. For the energy relative to the elements, the calculation gives 0.57 eV/atom.

Geometry as POSCAR:
```
Al3Zn3Hg
1.0
7.1665 0.0000 0.0000
0.0000 7.1665 0.0000
0.0000 0.0000 7.1665
Al Zn Hg
6 6 2
Direct
0.0000 0.7500 0.5000
0.0000 0.2500 0.5000
0.5000 0.0000 0.7500
0.2500 0.5000 0.0000
0.5000 0.0000 0.2500
0.7500 0.5000 0.0000
0.0000 0.5000 0.7500
0.2500 0.0000 0.5000
0.7500 0.0000 0.5000
0.5000 0.7500 0.0000
0.0000 0.5000 0.2500
0.5000 0.2500 0.0000
0.0000 0.0000 0.0000
0.5000 0.5000 0.5000
```



Compound: SrCrN3
Source: Alexandria via LeMat-Bulk
Functional: PBE-GGA
Structure: optimized geometry

Results
For the calculated density, the calculation gives 5.406 g cm⁻³. The raw formation energy is -0.72 eV per formula unit.

Geometry as POSCAR:
```
SrCrN3
1.0
3.8212 0.0000 0.0000
0.0000 3.8212 0.0000
0.0000 0.0000 3.8212
N Cr Sr
3 1 1
Direct
0.0000 0.0000 0.5000
0.5000 0.0000 0.0000
0.0000 0.5000 0.0000
0.0000 0.0000 0.0000
0.5000 0.5000 0.5000
```



Compound: CeHfTh
Source: Alexandria via LeMat-Bulk
Functional: PBE-GGA
Structure: optimized geometry

Results
For the calculated density, the calculation gives 11.163 g cm⁻³. For the energy above the most stable polymorph in this dataset, the calculation gives 0 meV per atom. For the energy relative to the elements, the calculation gives 0.11 eV/atom.

Geometry as POSCAR:
```
CeHfTh
1.0
-2.3201 1.8565 -1.5846
0.9557 -1.3207 -2.9467
-4.1350 -5.5868 3.0872
Th Hf Ce
1 1 1
Direct
0.0044 0.0044 0.0088
0.6663 0.6663 0.3325
0.3294 0.3294 0.6587
```



Compound: NdSmS2
Source: Alexandria via LeMat-Bulk
Functional: PBE-GGA
Structure: optimized geometry

Results
For the calculated density, the calculation gives 6.293 g cm⁻³. For the energy above the most stable polymorph in this dataset, the calculation gives 53 meV per atom. The raw formation energy is -7.90 eV per formula unit.

Geometry as POSCAR:
```
NdSmS2
1.0
3.9548 0.0000 0.0000
1.9774 3.4250 0.0000
1.9774 1.1417 6.9886
S Nd Sm
2 1 1
Direct
0.2495 0.2495 0.2516
0.0837 0.0837 0.7489
0.6724 0.6724 0.9827
0.4944 0.4944 0.5168
```



Compound: U2ReRu
Source: Alexandria via LeMat-Bulk
Functional: PBE-GGA
Structure: optimized geometry

Results
For the calculated density, the calculation gives 16.046 g cm⁻³. For the energy above the most stable polymorph in this dataset, the calculation gives 145 meV per atom. For the energy relative to the elements, the calculation gives 0.20 eV/atom.

Geometry as POSCAR:
```
U2ReRu
1.0
3.1426 0.0000 0.0000
-1.5713 4.0236 0.0140
0.0000 0.0771 6.2475
Re U Ru
1 2 1
Direct
0.0000 0.0000 0.0000
0.2760 0.5520 0.2508
0.7240 0.4480 0.7492
0.0000 0.0000 0.5000
```



Compound: Y3ZrCr
Source: Alexandria via LeMat-Bulk
Functional: PBE-GGA
Structure: optimized geometry

Results
For the calculated density, the calculation gives 4.265 g cm⁻³. For the energy relative to the elements, the calculation gives 1.47 eV/atom.

Geometry as POSCAR:
```
Y3ZrCr
1.0
5.4245 0.0000 0.0000
0.0000 5.4245 0.0000
0.0000 0.0000 5.4245
Y Zr Cr
3 1 1
Direct
0.0000 0.0000 0.5000
0.0000 0.5000 0.0000
0.5000 0.0000 0.0000
0.0000 0.0000 0.0000
0.5000 0.5000 0.5000
```



Compound: PrDySc2
Source: Alexandria via LeMat-Bulk
Functional: PBE-GGA
Structure: optimized geometry

Results
For the calculated density, the calculation gives 5.672 g cm⁻³. For the energy above the most stable polymorph in this dataset, the calculation gives 10 meV per atom. For the energy relative to the elements, the calculation gives 0.07 eV/atom.

Geometry as POSCAR:
```
PrDySc2
1.0
-3.2730 0.4861 -3.4927
1.8825 -2.0717 -2.0524
-3.4019 -5.4848 2.4245
Sc Pr Dy
2 1 1
Direct
0.5605 0.4710 0.3339
0.0605 0.9717 0.1051
0.0606 0.9708 0.5906
0.5606 0.4717 0.8599
```



Compound: FeSb2PbI
Source: Alexandria via LeMat-Bulk
Functional: PBE-GGA
Structure: optimized geometry

Results
For the calculated density, the calculation gives 5.046 g cm⁻³. For the energy above the most stable polymorph in this dataset, the calculation gives 961 meV per atom. The raw formation energy is 6.47 eV per formula unit.

Geometry as POSCAR:
```
FeSb2PbI
1.0
5.8697 0.0000 0.0000
0.0000 5.8697 0.0000
0.0000 0.0000 6.0499
Sb Pb I Fe
2 1 1 1
Direct
0.5000 0.0000 0.0000
0.0000 0.5000 0.0000
0.0000 0.0000 0.0000
0.0000 0.0000 0.5000
0.5000 0.5000 0.5000
```



The DFT total energy results, record by record, are as follows: -1.63, -7.40, -7.65, -6.41, -10.88, -6.05, -5.44, -3.10 eV per atom.